This record from Alexandria via LeMat-Bulk describes InSb2Pb after structural relaxation. The functional is PBE.

Output
- Fermi-level density of states: 2.16 states/eV per cell
- Excess energy over the best structure of this formula in the dataset: 0.049 eV/atom
- Calculated total energy: -3.574 eV per atom
- Formation energy without anion corrections: 0.099 eV per atom

abc: 6.1986 6.1986 3.3378
angles: 86.28 86.28 114.58
Positions (direct):
In 0.5000 0.0000 0.5000
Pb 0.0000 0.5000 0.5000
Sb 0.0000 0.0000 0.0000
Sb 0.5000 0.5000 0.0000